# HPdPt2

A relaxed HPdPt2 crystal (GGA-PBE, the Alexandria database).

Relative energy among the computed polymorphs = 575 meV per atom
Calculated total energy = -4.577 eV per atom

Unit cell a=6.035 b=6.035 c=6.035 alpha=90.00 beta=90.00 gamma=90.00
Fractional positions:
H1 0.000 0.000 0.000
H2 0.000 0.500 0.500
H3 0.500 0.000 0.500
H4 0.500 0.500 0.000
Pd1 0.000 0.000 0.500
Pd2 0.000 0.500 0.000
Pd3 0.500 0.000 0.000
Pd4 0.500 0.500 0.500
Pt1 0.250 0.250 0.250
Pt2 0.250 0.250 0.750
Pt3 0.250 0.750 0.250
Pt4 0.250 0.750 0.750
Pt5 0.750 0.250 0.250
Pt6 0.750 0.250 0.750
Pt7 0.750 0.750 0.250
Pt8 0.750 0.750 0.750